An optimized crystal structure of Sb2PtAuF. Source: Alexandria via LeMat-Bulk, functional PBE.

Lattice parameters (Å, degrees): 5.2763 5.2763 4.1099 90.00 90.00 90.00
Fractional coordinates of all 5 atoms:
Sb1 0.0000 0.5000 0.0000
Sb2 0.5000 0.0000 0.0000
Pt1 0.0000 0.0000 0.0000
Au1 0.5000 0.5000 0.5000
F1 0.0000 0.0000 0.5000

Magnetic moment   0.00 μB per cell
Excess energy over the best structure of this formula in the dataset   0.0000 eV/atom
Raw formation energy   -0.10 eV/atom
V   22.88 Å³/atom
D(E_F)   2.772 states/eV/f.u.